## ZnW3F (PBE with a Hubbard U)

Data for a geometry-optimized ZnW3F structure.

Unit cell a=4.283 b=4.283 c=4.283 alpha=90.00 beta=90.00 gamma=90.00
Fractional positions:
Zn  0.000  0.000  0.000
W  0.000  0.500  0.500
W  0.500  0.000  0.500
W  0.500  0.500  0.000
F  0.500  0.500  0.500

Properties
Space-group type: Pm-3m
D(E_F): 0.37 states/eV per atom
Total magnetization: 0.00 μB/cell
E above lowest polymorph: 0.000 eV/atom
DFT total energy: -0.268 Ry/atom